1.
Here is an optimized crystal structure of LaInMo from the Open Quantum Materials Database. Energies are from PBE.

Lattice parameters (Å, degrees): 5.100 5.100 5.100 60.00 60.00 60.00
Fractional coordinates of all 3 atoms:
In (0.250, 0.250, 0.250)
La (0.000, 0.000, 0.000)
Mo (0.750, 0.750, 0.750)

Output
Offset from the most stable computed form   0.4060 eV per atom

2.
Here is an optimized crystal structure of NaLaIn4Ni2 from the Open Quantum Materials Database. Energies are from PBE.

Lattice parameters (Å, degrees): 7.657 5.592 5.592 46.66 90.00 90.00
Fractional coordinates of all 8 atoms:
In (0.209, 0.352, 0.352)
In (0.791, 0.352, 0.352)
In (0.309, 0.652, 0.652)
In (0.691, 0.652, 0.652)
La (0.000, 0.060, 0.060)
Na (0.500, 0.936, 0.936)
Ni (0.500, 0.212, 0.212)
Ni (0.000, 0.784, 0.784)

Output
VASP energy   -3.8333 eV per atom

3.
Here is an optimized crystal structure of NaLaIn4Pt2 from the Open Quantum Materials Database. Energies are from PBE.

Lattice parameters (Å, degrees): 7.898 5.713 5.713 46.67 90.00 90.00
Fractional coordinates of all 8 atoms:
In (0.209, 0.357, 0.357)
In (0.791, 0.357, 0.357)
In (0.310, 0.646, 0.646)
In (0.690, 0.646, 0.646)
La (0.000, 0.067, 0.067)
Na (0.500, 0.932, 0.932)
Pt (0.500, 0.211, 0.211)
Pt (0.000, 0.783, 0.783)

Output
VASP energy   -4.2661 eV per atom

4.
Here is an optimized crystal structure of LaNbIn from the Open Quantum Materials Database. Energies are from PBE.

Lattice parameters (Å, degrees): 4.999 4.999 4.999 60.00 60.00 60.00
Fractional coordinates of all 3 atoms:
In (0.250, 0.250, 0.250)
La (0.750, 0.750, 0.750)
Nb (0.000, 0.000, 0.000)

Output
Offset from the most stable computed form   0.0000 eV per atom

Repeat the first record exactly.
Here is an optimized crystal structure of LaInMo from the Open Quantum Materials Database. Energies are from PBE.

Lattice parameters (Å, degrees): 5.100 5.100 5.100 60.00 60.00 60.00
Fractional coordinates of all 3 atoms:
In (0.250, 0.250, 0.250)
La (0.000, 0.000, 0.000)
Mo (0.750, 0.750, 0.750)

Output
Offset from the most stable computed form   0.4060 eV per atom